Record 1
{"formula": "La6AsP2Cl3", "functional": "GGA-PBE", "state": "optimized geometry", "cell": [[9.290, -2.131, 0.000], [9.290, 2.131, 0.000], [-1.958, 0.000, 8.305]], "species": ["La", "La", "La", "La", "La", "La", "As", "P", "P", "Cl", "Cl", "Cl"], "frac_coords": [[0.008, 0.008, 0.244], [0.327, 0.327, 0.432], [0.336, 0.336, 0.897], [0.664, 0.664, 0.103], [0.673, 0.673, 0.568], [0.992, 0.992, 0.756], [0.500, 0.500, 0.000], [0.168, 0.168, 0.334], [0.832, 0.832, 0.666], [0.165, 0.165, 0.833], [0.500, 0.500, 0.500], [0.835, 0.835, 0.167]], "dos_at_fermi_per_ev_cell": 5.71, "dft_energy_ev_per_cell": -71.0, "formation_energy_uncorrected_ev_per_fu": -20.4, "total_magnetization_mub_per_cell": 0.0}



Record 2
{"formula": "La3AsPbCl", "functional": "GGA-PBE", "state": "optimized geometry", "cell": [[8.161, 0.000, 0.000], [0.000, 4.690, 0.000], [-3.509, 0.000, 9.761]], "species": ["La", "La", "La", "La", "La", "La", "As", "As", "Pb", "Pb", "Cl", "Cl"], "frac_coords": [[0.039, 0.250, 0.343], [0.220, 0.250, 0.979], [0.432, 0.750, 0.633], [0.568, 0.250, 0.367], [0.780, 0.750, 0.021], [0.961, 0.750, 0.657], [0.194, 0.250, 0.641], [0.806, 0.750, 0.359], [0.244, 0.750, 0.222], [0.756, 0.250, 0.778], [0.377, 0.750, 0.901], [0.623, 0.250, 0.099]], "dos_at_fermi_per_ev_cell": 7.84, "dft_energy_ev_per_cell": -64.2, "formation_energy_uncorrected_ev_per_fu": -7.1, "total_magnetization_mub_per_cell": 1.2}



Record 3
{"formula": "La4AsPdCl2", "functional": "GGA-PBE", "state": "optimized geometry", "cell": [[7.234, 0.000, 0.000], [0.000, 4.239, 0.000], [-2.520, 0.000, 7.239]], "species": ["La", "La", "La", "La", "As", "Pd", "Cl", "Cl"], "frac_coords": [[0.236, 0.000, 0.241], [0.245, 0.500, 0.745], [0.755, 0.500, 0.255], [0.764, 0.000, 0.759], [0.000, 0.000, 0.500], [0.000, 0.500, 0.000], [0.500, 0.000, 0.000], [0.500, 0.500, 0.500]], "dos_at_fermi_per_ev_cell": 6.52, "dft_energy_ev_per_cell": -44.4, "formation_energy_uncorrected_ev_per_fu": -11.2, "total_magnetization_mub_per_cell": 0.0}